Density functional theory data (GGA-PBE) for an optimized crystal structure of La2PrY6Tm2.

total magnetic moment	0.0000	μB/atom
formation energy from the elements	0.1743	eV/atom
V	761.3	Å³/cell

Lattice parameters (Å, degrees): 6.5016 10.2781 11.4203 90.00 93.98 90.00
Closest atoms and distances in Å follow each position.
Space group C2/m (No. 12)
Symmetry-distinct sites (fractional):
1 La 0.0000 0.2429 0.0000 (multiplicity 4)  2 La 3.25, 4 Y 3.46
2 Pr 0.0000 0.5000 0.5000 (multiplicity 2)  6 Tm 3.47-3.66, 6 Y 3.47-3.76
3 Y 0.2142 0.3320 0.7424 (multiplicity 8)  6 Y 3.43-3.71, 2 Tm 3.44-3.48, 2 La 3.46, 1 Pr 3.47
4 Y 0.2170 0.0000 0.7764 (multiplicity 4)  6 Y 3.43-3.71, 2 Tm 3.76, 1 Pr 3.76
5 Tm 0.0000 0.1627 0.5000 (multiplicity 4)  3 Tm 3.34-3.71, 4 Y 3.44-3.48, 3 Pr 3.47-3.66